# NiAgF2

A relaxed NiAgF2 crystal (GGA+U, Alexandria).

a b c (Å): 5.236 5.236 6.372
angles (deg): 65.74 65.74 90.00
Each line ends with the local moment (μB).
Fractional positions:
Ni (0.500, 0.500, 0.000)  1.80
Ni (0.250, 0.750, 0.500)  1.80
Ag (0.000, 0.000, 0.000)  0.00
Ag (0.750, 0.250, 0.500)  0.00
F (0.494, 0.125, 0.250)  0.05
F (0.256, 0.625, 0.250)  0.05
F (0.375, 0.506, 0.750)  0.05
F (0.875, 0.744, 0.750)  0.05

Values from the calculation:
DOS(E_F) in states/eV per cell: 2.56
E_tot in eV/cell: -25.82
Excess energy over the best structure of this formula in the dataset in eV/atom: 0.4689
Space-group type: I-42d, No. 122